# Hg2AsW, relaxed, DFT PBEsol
data_Hg2AsW
_space_group_name_H-M_alt 'P 4 m m'
_space_group_IT_number 99
_space_group_name_Hall 'P 4 -2'
_cell_length_a 3.1581
_cell_length_b 3.1581
_cell_length_c 7.7514
_cell_angle_alpha 90.00
_cell_angle_beta 90.00
_cell_angle_gamma 90.00
loop_
_atom_site_label
_atom_site_fract_x
_atom_site_fract_y
_atom_site_fract_z
Hg1 0.0000 0.0000 0.0000
Hg2 0.5000 0.5000 0.2970
As1 0.5000 0.5000 0.7092
W1 0.0000 0.0000 0.5488
# VASP energy ... -4.679 eV per atom
# Calculated formation energy ... 0.3333 eV per atom